# VBAs3, optimized geometry, DFT GGA-PBE
data_VBAs3
_chemical_formula_sum 'V1 B1 As3'
_cell_length_a 4.384
_cell_length_b 4.384
_cell_length_c 4.384
_cell_angle_alpha 90.00
_cell_angle_beta 90.00
_cell_angle_gamma 90.00
_symmetry_space_group_name_H-M 'P m -3 m'
_symmetry_Int_Tables_number 221
_symmetry_space_group_name_Hall '-P 4 2 3'
loop_
_atom_site_label
_atom_site_fract_x
_atom_site_fract_y
_atom_site_fract_z
V1 0.000 0.000 0.000
B1 0.500 0.500 0.500
As1 0.000 0.500 0.500
# N(E_F)   6.45 states/eV per cell
# Energy relative to the elements   0.8372 eV/atom
# Polymorph energy (0 for the lowest one)   0.000 eV/atom


# V5B2As, optimized geometry, DFT GGA-PBE
data_V5B2As
_chemical_formula_sum 'V20 B8 As4'
_cell_length_a 5.800
_cell_length_b 5.800
_cell_length_c 10.812
_cell_angle_alpha 90.00
_cell_angle_beta 90.00
_cell_angle_gamma 90.00
_symmetry_space_group_name_H-M 'I 4/m c m'
_symmetry_Int_Tables_number 140
_symmetry_space_group_name_Hall '-I 4 2c'
loop_
_atom_site_label
_atom_site_fract_x
_atom_site_fract_y
_atom_site_fract_z
V1 0.000 0.000 0.000
V2 0.168 0.332 0.136
B1 0.116 0.384 0.500
As1 0.000 0.000 0.250
# N(E_F)   11.06 states/eV per cell
# Energy relative to the elements   -0.6969 eV/atom


# VBAs3, optimized geometry, DFT GGA-PBE
data_VBAs3
_chemical_formula_sum 'V1 B1 As3'
_cell_length_a 4.705
_cell_length_b 4.705
_cell_length_c 4.705
_cell_angle_alpha 90.00
_cell_angle_beta 90.00
_cell_angle_gamma 90.00
_symmetry_space_group_name_H-M 'P m -3 m'
_symmetry_Int_Tables_number 221
_symmetry_space_group_name_Hall '-P 4 2 3'
loop_
_atom_site_label
_atom_site_fract_x
_atom_site_fract_y
_atom_site_fract_z
V1 0.000 0.000 0.000
B1 0.500 0.500 0.500
As1 0.000 0.000 0.500
# N(E_F)   2.02 states/eV per cell
# Energy relative to the elements   1.0478 eV/atom
# Polymorph energy (0 for the lowest one)   0.211 eV/atom


# VB3As, optimized geometry, DFT GGA-PBE
data_VB3As
_chemical_formula_sum 'V1 B3 As1'
_cell_length_a 4.014
_cell_length_b 4.014
_cell_length_c 4.014
_cell_angle_alpha 90.00
_cell_angle_beta 90.00
_cell_angle_gamma 90.00
_symmetry_space_group_name_H-M 'P m -3 m'
_symmetry_Int_Tables_number 221
_symmetry_space_group_name_Hall '-P 4 2 3'
loop_
_atom_site_label
_atom_site_fract_x
_atom_site_fract_y
_atom_site_fract_z
V1 0.000 0.000 0.000
B1 0.000 0.000 0.500
As1 0.500 0.500 0.500
# N(E_F)   3.99 states/eV per cell
# Energy relative to the elements   1.4732 eV/atom
# Polymorph energy (0 for the lowest one)   0.000 eV/atom


# VB2As, optimized geometry, DFT GGA-PBE
data_VB2As
_chemical_formula_sum 'V4 B8 As4'
_cell_length_a 5.100
_cell_length_b 5.100
_cell_length_c 8.353
_cell_angle_alpha 90.00
_cell_angle_beta 90.00
_cell_angle_gamma 90.00
_symmetry_space_group_name_H-M 'I -4 2 d'
_symmetry_Int_Tables_number 122
_symmetry_space_group_name_Hall 'I -4 2bw'
loop_
_atom_site_label
_atom_site_fract_x
_atom_site_fract_y
_atom_site_fract_z
V1 0.000 0.000 0.000
B1 0.242 0.250 0.625
As1 0.000 0.000 0.500
# N(E_F)   9.94 states/eV per cell
# Energy relative to the elements   0.6806 eV/atom


# VBAs, optimized geometry, DFT GGA-PBE
data_VBAs
_chemical_formula_sum 'V2 B2 As2'
_cell_length_a 3.161
_cell_length_b 4.996
_cell_length_c 5.183
_cell_angle_alpha 75.58
_cell_angle_beta 89.99
_cell_angle_gamma 71.71
_symmetry_space_group_name_H-M 'P -1'
_symmetry_Int_Tables_number 2
loop_
_symmetry_equiv_pos_as_xyz
'x,y,z'
'-x,-y,-z'
loop_
_atom_site_label
_atom_site_fract_x
_atom_site_fract_y
_atom_site_fract_z
V1 0.052 0.397 0.276
B1 0.415 0.672 0.002
As1 0.330 0.842 0.322
# N(E_F)   2.85 states/eV per cell
# Energy relative to the elements   -0.1641 eV/atom


# BAs3W, optimized geometry, DFT GGA-PBE
data_BAs3W
_chemical_formula_sum 'B1 As3 W1'
_cell_length_a 4.308
_cell_length_b 4.308
_cell_length_c 4.308
_cell_angle_alpha 90.00
_cell_angle_beta 90.00
_cell_angle_gamma 90.00
_symmetry_space_group_name_H-M 'P m -3 m'
_symmetry_Int_Tables_number 221
_symmetry_space_group_name_Hall '-P 4 2 3'
loop_
_atom_site_label
_atom_site_fract_x
_atom_site_fract_y
_atom_site_fract_z
B1 0.000 0.000 0.000
As1 0.000 0.000 0.500
W1 0.500 0.500 0.500
# N(E_F)   5.28 states/eV per cell
# Energy relative to the elements   1.2081 eV/atom


# B2AsW, optimized geometry, DFT GGA-PBE
data_B2AsW
_chemical_formula_sum 'B8 As4 W4'
_cell_length_a 5.007
_cell_length_b 5.007
_cell_length_c 9.284
_cell_angle_alpha 90.00
_cell_angle_beta 90.00
_cell_angle_gamma 90.00
_symmetry_space_group_name_H-M 'I -4 2 d'
_symmetry_Int_Tables_number 122
_symmetry_space_group_name_Hall 'I -4 2bw'
loop_
_atom_site_label
_atom_site_fract_x
_atom_site_fract_y
_atom_site_fract_z
B1 0.244 0.250 0.125
As1 0.000 0.000 0.000
W1 0.000 0.000 0.500
# N(E_F)   6.78 states/eV per cell
# Energy relative to the elements   0.7654 eV/atom


# BAsW, optimized geometry, DFT GGA-PBE
data_BAsW
_chemical_formula_sum 'B4 As4 W4'
_cell_length_a 5.230
_cell_length_b 3.019
_cell_length_c 12.176
_cell_angle_alpha 90.00
_cell_angle_beta 97.83
_cell_angle_gamma 90.00
_symmetry_space_group_name_H-M 'C 1 2/m 1'
_symmetry_Int_Tables_number 12
loop_
_symmetry_equiv_pos_as_xyz
'x,y,z'
'-x,-y,-z'
'-x,y,-z'
'x,-y,z'
'x+1/2,y+1/2,z'
'-x+1/2,-y+1/2,-z'
'-x+1/2,y+1/2,-z'
'x+1/2,-y+1/2,z'
loop_
_atom_site_label
_atom_site_fract_x
_atom_site_fract_y
_atom_site_fract_z
B1 0.176 0.000 0.029
As1 0.101 0.500 0.320
W1 0.117 0.000 0.844
# N(E_F)   3.01 states/eV per cell
# Energy relative to the elements   -0.1092 eV/atom


# BAsW2, optimized geometry, DFT GGA-PBE
data_BAsW2
_chemical_formula_sum 'B4 As4 W8'
_cell_length_a 4.895
_cell_length_b 4.895
_cell_length_c 11.897
_cell_angle_alpha 90.00
_cell_angle_beta 90.00
_cell_angle_gamma 90.00
_symmetry_space_group_name_H-M 'I -4 2 d'
_symmetry_Int_Tables_number 122
_symmetry_space_group_name_Hall 'I -4 2bw'
loop_
_atom_site_label
_atom_site_fract_x
_atom_site_fract_y
_atom_site_fract_z
B1 0.000 0.000 0.000
As1 0.000 0.000 0.500
W1 0.163 0.250 0.125
# N(E_F)   12.81 states/eV per cell
# Energy relative to the elements   0.8836 eV/atom
# Polymorph energy (0 for the lowest one)   0.343 eV/atom


# BAsW2, optimized geometry, DFT GGA-PBE
data_BAsW2
_chemical_formula_sum 'B4 As4 W8'
_cell_length_a 5.986
_cell_length_b 5.986
_cell_length_c 5.986
_cell_angle_alpha 90.00
_cell_angle_beta 90.00
_cell_angle_gamma 90.00
_symmetry_space_group_name_H-M 'F m -3 m'
_symmetry_Int_Tables_number 225
_symmetry_space_group_name_Hall '-F 4 2 3'
loop_
_atom_site_label
_atom_site_fract_x
_atom_site_fract_y
_atom_site_fract_z
B1 0.000 0.000 0.000
As1 0.000 0.000 0.500
W1 0.250 0.250 0.250
# N(E_F)   12.51 states/eV per cell
# Energy relative to the elements   0.5401 eV/atom
# Polymorph energy (0 for the lowest one)   0.000 eV/atom


# BAs2W, optimized geometry, DFT GGA-PBE
data_BAs2W
_chemical_formula_sum 'B4 As8 W4'
_cell_length_a 5.550
_cell_length_b 5.550
_cell_length_c 9.220
_cell_angle_alpha 90.00
_cell_angle_beta 90.00
_cell_angle_gamma 90.00
_symmetry_space_group_name_H-M 'I -4 2 d'
_symmetry_Int_Tables_number 122
_symmetry_space_group_name_Hall 'I -4 2bw'
loop_
_atom_site_label
_atom_site_fract_x
_atom_site_fract_y
_atom_site_fract_z
B1 0.000 0.000 0.000
As1 0.189 0.250 0.125
W1 0.000 0.000 0.500
# N(E_F)   17.14 states/eV per cell
# Energy relative to the elements   0.6962 eV/atom


# YBAsW2, optimized geometry, DFT GGA-PBE
data_YBAsW2
_chemical_formula_sum 'Y1 B1 As1 W2'
_cell_length_a 4.202
_cell_length_b 4.202
_cell_length_c 5.013
_cell_angle_alpha 90.00
_cell_angle_beta 90.00
_cell_angle_gamma 90.00
_symmetry_space_group_name_H-M 'P 4/m m m'
_symmetry_Int_Tables_number 123
_symmetry_space_group_name_Hall '-P 4 2'
loop_
_atom_site_label
_atom_site_fract_x
_atom_site_fract_y
_atom_site_fract_z
Y1 0.000 0.000 0.000
B1 0.000 0.000 0.500
As1 0.500 0.500 0.000
W1 0.000 0.500 0.500
# N(E_F)   6.24 states/eV per cell
# Energy relative to the elements   0.2679 eV/atom


# YBAs2, optimized geometry, DFT GGA-PBE
data_YBAs2
_chemical_formula_sum 'Y4 B4 As8'
_cell_length_a 6.535
_cell_length_b 6.535
_cell_length_c 7.081
_cell_angle_alpha 90.00
_cell_angle_beta 90.00
_cell_angle_gamma 90.00
_symmetry_space_group_name_H-M 'I -4 2 d'
_symmetry_Int_Tables_number 122
_symmetry_space_group_name_Hall 'I -4 2bw'
loop_
_atom_site_label
_atom_site_fract_x
_atom_site_fract_y
_atom_site_fract_z
Y1 0.000 0.000 0.000
B1 0.000 0.000 0.500
As1 0.153 0.250 0.625
# N(E_F)   2.82 states/eV per cell
# Energy relative to the elements   -0.4269 eV/atom


# Y2B2As, optimized geometry, DFT GGA-PBE
data_Y2B2As
_chemical_formula_sum 'Y4 B4 As2'
_cell_length_a 3.389
_cell_length_b 3.389
_cell_length_c 15.645
_cell_angle_alpha 90.00
_cell_angle_beta 90.00
_cell_angle_gamma 90.00
_symmetry_space_group_name_H-M 'I 4/m m m'
_symmetry_Int_Tables_number 139
_symmetry_space_group_name_Hall '-I 4 2'
loop_
_atom_site_label
_atom_site_fract_x
_atom_site_fract_y
_atom_site_fract_z
Y1 0.000 0.000 0.121
B1 0.000 0.500 0.250
As1 0.000 0.000 0.500
# N(E_F)   5.78 states/eV per cell
# Energy relative to the elements   0.1086 eV/atom
# Polymorph energy (0 for the lowest one)   0.231 eV/atom


# YB3As, optimized geometry, DFT GGA-PBE
data_YB3As
_chemical_formula_sum 'Y1 B3 As1'
_cell_length_a 4.160
_cell_length_b 4.160
_cell_length_c 4.160
_cell_angle_alpha 90.00
_cell_angle_beta 90.00
_cell_angle_gamma 90.00
_symmetry_space_group_name_H-M 'P m -3 m'
_symmetry_Int_Tables_number 221
_symmetry_space_group_name_Hall '-P 4 2 3'
loop_
_atom_site_label
_atom_site_fract_x
_atom_site_fract_y
_atom_site_fract_z
Y1 0.000 0.000 0.000
B1 0.000 0.500 0.500
As1 0.500 0.500 0.500
# N(E_F)   1.99 states/eV per cell
# Energy relative to the elements   1.1072 eV/atom
# Polymorph energy (0 for the lowest one)   0.000 eV/atom


# Y2BAs, optimized geometry, DFT GGA-PBE
data_Y2BAs
_chemical_formula_sum 'Y8 B4 As4'
_cell_length_a 6.867
_cell_length_b 6.867
_cell_length_c 6.867
_cell_angle_alpha 90.00
_cell_angle_beta 90.00
_cell_angle_gamma 90.00
_symmetry_space_group_name_H-M 'F m -3 m'
_symmetry_Int_Tables_number 225
_symmetry_space_group_name_Hall '-F 4 2 3'
loop_
_atom_site_label
_atom_site_fract_x
_atom_site_fract_y
_atom_site_fract_z
Y1 0.250 0.250 0.250
B1 0.000 0.000 0.000
As1 0.000 0.000 0.500
# N(E_F)   18.80 states/eV per cell
# Energy relative to the elements   -0.2124 eV/atom
# Polymorph energy (0 for the lowest one)   0.113 eV/atom


# YB3As, optimized geometry, DFT GGA-PBE
data_YB3As
_chemical_formula_sum 'Y1 B3 As1'
_cell_length_a 4.670
_cell_length_b 4.670
_cell_length_c 4.670
_cell_angle_alpha 90.00
_cell_angle_beta 90.00
_cell_angle_gamma 90.00
_symmetry_space_group_name_H-M 'P m -3 m'
_symmetry_Int_Tables_number 221
_symmetry_space_group_name_Hall '-P 4 2 3'
loop_
_atom_site_label
_atom_site_fract_x
_atom_site_fract_y
_atom_site_fract_z
Y1 0.000 0.000 0.000
B1 0.000 0.000 0.500
As1 0.500 0.500 0.500
# N(E_F)   3.06 states/eV per cell
# Energy relative to the elements   2.3045 eV/atom
# Polymorph energy (0 for the lowest one)   1.197 eV/atom


# Y2BAs, optimized geometry, DFT GGA-PBE
data_Y2BAs
_chemical_formula_sum 'Y8 B4 As4'
_cell_length_a 7.176
_cell_length_b 7.176
_cell_length_c 6.927
_cell_angle_alpha 90.00
_cell_angle_beta 90.00
_cell_angle_gamma 90.00
_symmetry_space_group_name_H-M 'I -4 2 d'
_symmetry_Int_Tables_number 122
_symmetry_space_group_name_Hall 'I -4 2bw'
loop_
_atom_site_label
_atom_site_fract_x
_atom_site_fract_y
_atom_site_fract_z
Y1 0.217 0.750 0.125
B1 0.000 0.000 0.000
As1 0.000 0.000 0.500
# N(E_F)   8.71 states/eV per cell
# Energy relative to the elements   -0.3257 eV/atom
# Polymorph energy (0 for the lowest one)   0.000 eV/atom


# YB2As, optimized geometry, DFT GGA-PBE
data_YB2As
_chemical_formula_sum 'Y4 B8 As4'
_cell_length_a 6.337
_cell_length_b 6.337
_cell_length_c 6.110
_cell_angle_alpha 90.00
_cell_angle_beta 90.00
_cell_angle_gamma 90.00
_symmetry_space_group_name_H-M 'I -4 2 d'
_symmetry_Int_Tables_number 122
_symmetry_space_group_name_Hall 'I -4 2bw'
loop_
_atom_site_label
_atom_site_fract_x
_atom_site_fract_y
_atom_site_fract_z
Y1 0.000 0.000 0.000
B1 0.186 0.250 0.625
As1 0.000 0.000 0.500
# N(E_F)   2.63 states/eV per cell
# Energy relative to the elements   0.3219 eV/atom